A plane-wave DFT calculation with PBE was carried out for an optimized crystal structure of Cs4Ac3SbS8.

Results
For the density of states at the Fermi level, the calculation gives 0.000 states/eV/cell. Its formation energy from raw total energies is -1.555 eV per atom. As for the total energy: -4.860 eV/atom.

CIF file:
```
data_Cs4Ac3SbS8
_cell_length_a 8.8138
_cell_length_b 8.8138
_cell_length_c 24.3242
_cell_angle_alpha 90.00
_cell_angle_beta 90.00
_cell_angle_gamma 120.00
_space_group_name_H-M_alt 'R -3 m'
_space_group_IT_number 166
_space_group_name_Hall '-R 3 2"'
loop_
_atom_site_label
_atom_site_type_symbol
_atom_site_fract_x
_atom_site_fract_y
_atom_site_fract_z
_atom_site_occupancy
Cs1 Cs 0.0000 0.0000 0.0000 1
Cs2 Cs 0.0000 0.5000 0.0000 1
Ac1 Ac 0.0000 0.5000 0.5000 1
Sb1 Sb 0.0000 0.0000 0.5000 1
S1 S 0.0000 0.0000 0.2315 1
S2 S 0.0138 0.5069 0.2295 1
```